1.
## K2LiCr (PBE)

Data for crystalline K2LiCr at its relaxed geometry.

## Properties
space group: C2/m (12)
E above lowest polymorph: 120 meV/atom
formation energy: 0.712 eV/atom
calculated density: 1463 kg/m³
M_tot: 5.1 Bohr magnetons per cell

Unit cell a=6.494 b=6.494 c=5.477 alpha=65.00 beta=65.00 gamma=49.59
Sites, in units of the cell vectors:
Cr 0.750 0.750 0.750
Li 0.250 0.250 0.250
K 0.000 0.000 0.000
K 0.500 0.500 0.500

=====

2.
## K2LiCr (PBE)

Data for crystalline K2LiCr at its relaxed geometry.

## Properties
space group: F-43m (216)
E above lowest polymorph: 90 meV/atom
formation energy: 0.682 eV/atom
calculated density: 1522 kg/m³
M_tot: 5.2 Bohr magnetons per cell

Unit cell a=5.959 b=5.959 c=5.959 alpha=60.00 beta=60.00 gamma=60.00
Sites, in units of the cell vectors:
Li 0.750 0.750 0.750
Cr 0.500 0.500 0.500
K 0.250 0.250 0.250
K 0.000 0.000 0.000